[1]
Density functional theory data (meta-GGA SCAN) for a crystal of MgSiTc2 relaxed with PBEsol.

Properties
The space group is No. 225. Its energy relative to the lowest polymorph listed for this composition is 0.000 eV per atom. Its density of states at the Fermi level is 18.38 states/eV/cell. The formation energy (no corrections) is 0.02 eV per atom.

a = 6.022 Å, b = 6.022 Å, c = 6.022 Å
α = 90.00°, β = 90.00°, γ = 90.00°
Fractional coordinates of all 16 atoms:
1 Mg 0.000 0.000 0.000
2 Mg 0.000 0.500 0.500
3 Mg 0.500 0.000 0.500
4 Mg 0.500 0.500 0.000
5 Si 0.000 0.000 0.500
6 Si 0.000 0.500 0.000
7 Si 0.500 0.000 0.000
8 Si 0.500 0.500 0.500
9 Tc 0.250 0.250 0.250
10 Tc 0.250 0.250 0.750
11 Tc 0.250 0.750 0.250
12 Tc 0.250 0.750 0.750
13 Tc 0.750 0.250 0.250
14 Tc 0.750 0.250 0.750
15 Tc 0.750 0.750 0.250
16 Tc 0.750 0.750 0.750


[2]
Density functional theory data (meta-GGA SCAN) for a crystal of K2CrSe relaxed with PBEsol.

Properties
The space group is No. 123. Its density of states at the Fermi level is 1.73 states/eV/cell. The formation energy (no corrections) is -0.10 eV per atom.

a = 3.782 Å, b = 3.782 Å, c = 9.046 Å
α = 90.00°, β = 90.00°, γ = 90.00°
Fractional coordinates of all 4 atoms:
1 K 0.000 0.000 0.197
2 K 0.000 0.000 0.803
3 Cr 0.500 0.500 0.500
4 Se 0.500 0.500 0.000


no.,total magnetic moment (μB per formula unit)
1,0.0
2,5.8